1.
DFT (GGA-PBE) results for TaSi2Tc after structural relaxation.

Computed properties:
Offset from the most stable computed form, eV/atom: 0.6118
E, eV per atom: -8.147
Magnetic moment, Bohr magnetons per cell: 0.00

a b c (Å): 9.403 9.403 9.403
angles (deg): 156.83 156.83 33.00
Fractional positions:
Ta: 0.000 0.000 0.000
Ta: 0.750 0.250 0.500
Si: 0.144 0.625 0.019
Si: 0.375 0.394 0.519
Si: 0.606 0.125 0.981
Si: 0.875 0.856 0.481
Tc: 0.250 0.750 0.500
Tc: 0.500 0.500 0.000

***

2.
DFT (GGA-PBE) results for PmPbF2 after structural relaxation.

Computed properties:
E, eV per atom: -4.960
Magnetic moment, Bohr magnetons per cell: 0.00

a b c (Å): 5.097 5.097 5.097
angles (deg): 57.01 57.01 57.01
Fractional positions:
Pm: 0.000 0.000 0.000
Pb: 0.500 0.500 0.500
F: 0.177 0.177 0.177
F: 0.823 0.823 0.823

***

> Number 2 is which compound?

PmPbF2

***

> magnetic moment of number 2 (PmPbF2)?

0.00 Bohr magnetons per cell

***

> Which of these has the lowest E?

TaSi2Tc